(1)
A relaxed Tl2TcOs crystal. Source: Alexandria, functional GGA-PBEsol.

```
4
Lattice="4.671 0.000 0.000 2.336 4.045 0.000 2.336 1.348 3.814" Properties=species:S:1:pos:R:3 pbc="T T T"
Tl 7.007 4.045 2.860
Tl 0.000 0.000 0.000
Tc 2.336 1.348 0.953
Os 4.671 2.697 1.907
```

Results
Formation enthalpy at 0 K (eV/atom): 1.159
Raw total energy (eV per atom): -6.03
Energy above the most stable polymorph in this dataset (kcal/mol of atoms): 3.14


(2)
A relaxed Ca2MnAgI crystal. Source: Alexandria, functional GGA-PBEsol.

```
5
Lattice="-1.773 4.507 -0.196 -4.763 -1.983 -2.504 -2.408 -0.724 5.154" Properties=species:S:1:pos:R:3 pbc="T T T"
Ag 0.000 0.000 0.000
Ca -2.381 -0.991 -1.252
Ca -1.204 -0.362 2.577
I -4.472 0.900 1.227
Mn -0.887 2.253 -0.098
```

Results
Raw total energy (eV per atom): -3.75
Formation energy without anion corrections (meV/atom): 72


(3)
A relaxed K3LuP2O8 crystal. Source: Alexandria, functional GGA-PBEsol.

```
42
Lattice="-2.216 4.028 6.103 1.772 -7.553 5.628 6.908 6.416 -1.726" Properties=species:S:1:pos:R:3 pbc="T T T"
O 5.062 -1.269 6.702
P 4.113 2.427 7.233
K 6.414 4.410 6.615
O 4.866 -2.679 4.632
O 4.566 6.524 5.820
K 1.231 2.657 5.889
P 5.787 -2.287 5.834
O 4.390 3.971 0.988
O 1.402 4.160 3.303
Lu 0.000 0.000 0.000
O 1.780 0.810 4.139
P 2.351 0.464 2.772
O 3.539 3.881 7.191
O 0.812 -3.144 6.397
P 5.696 6.948 4.824
P 0.677 5.177 4.171
O 5.652 6.035 3.609
O 0.155 0.473 7.295
O -1.462 2.007 6.112
O 2.976 1.456 7.671
K 2.393 -0.914 6.181
O 2.925 -0.990 2.814
O 2.074 -1.081 9.017
K 0.050 -1.519 3.390
K 3.522 -4.411 6.559
K 5.233 0.233 4.116
O 6.309 2.417 2.710
Lu 5.118 1.901 0.940
O 4.684 2.080 5.867
K 4.071 3.804 3.824
Lu 1.346 0.989 9.065
O 5.327 5.892 -0.355
O 5.241 2.368 8.307
P 0.768 -4.057 5.181
O 1.898 -3.634 4.185
K -1.108 2.014 3.052
K 2.942 7.301 3.446
O 1.137 -3.001 10.360
O 3.488 1.435 2.334
O 7.926 0.884 3.894
O 1.598 5.569 5.373
O 1.223 0.523 1.698
```

Results
Raw total energy (eV per atom): -7.06
Formation energy without anion corrections (meV/atom): -2639


(4)
A relaxed HfCr2CdPt crystal. Source: Alexandria, functional GGA-PBEsol.

```
5
Lattice="-2.745 -1.916 2.934 3.414 -2.303 1.690 0.911 3.794 3.330" Properties=species:S:1:pos:R:3 pbc="T T T"
Cr 1.707 -1.152 0.845
Pt 0.790 -0.213 3.977
Cr -1.373 -0.958 1.467
Hf 0.000 0.000 0.000
Cd 0.455 1.897 1.665
```

Results
Formation enthalpy at 0 K (eV/atom): 1.858
Raw total energy (eV per atom): -5.97


(5)
A relaxed BaV2P4O14 crystal. Source: Alexandria, functional GGA-PBEsol.

```
42
Lattice="7.463 0.009 -0.006 0.085 7.463 -0.006 1.590 1.574 9.517" Properties=species:S:1:pos:R:3 pbc="T T T"
O 3.476 4.889 1.039
V 4.526 3.771 2.374
V 0.795 0.787 4.759
O 3.519 5.850 8.614
O 0.955 2.107 3.256
Ba 3.732 0.004 -0.003
V 0.000 0.000 0.000
P 5.583 2.764 5.293
O 7.910 5.285 8.007
O 6.913 2.057 5.494
O 6.043 5.077 2.775
O 1.224 1.285 0.859
O 5.933 6.779 7.533
O 2.092 1.998 5.617
O 7.914 7.762 8.647
O 8.183 6.939 6.250
O 2.912 1.721 8.015
P 7.460 6.787 7.582
O 5.090 2.672 3.856
O 5.720 4.214 5.797
P 6.067 6.604 2.823
O 1.332 6.105 0.736
P 7.113 4.279 8.971
O 3.419 4.832 3.709
P 3.555 6.282 4.213
O 6.226 7.325 1.491
P 1.678 2.259 1.924
V 4.612 5.275 7.132
O 4.569 1.977 6.258
P 3.072 2.442 6.683
Ba 0.838 4.519 4.756
O 7.046 7.048 3.889
O 5.619 3.196 0.892
O 2.225 6.989 4.012
O 4.049 6.374 5.650
P 2.025 4.768 0.535
O 5.662 4.157 8.467
O 3.095 3.970 6.731
O 3.205 2.267 1.973
O 7.807 2.941 8.770
O 4.570 7.069 3.248
O 1.228 3.761 1.499
```

Results
Raw total energy (eV per atom): -8.00
Energy above the most stable polymorph in this dataset (kcal/mol of atoms): 0.21
Formation energy without anion corrections (meV/atom): -2378


(6)
A relaxed NaPSeN2 crystal. Source: Alexandria, functional GGA-PBEsol.

```
5
Lattice="4.181 0.000 0.000 0.000 4.181 0.000 0.000 0.000 5.381" Properties=species:S:1:pos:R:3 pbc="T T T"
Na 0.000 0.000 0.000
Se 0.000 0.000 2.690
P 2.091 2.091 2.690
N 0.000 2.091 0.000
N 2.091 0.000 0.000
```

Results
Raw total energy (eV per atom): -3.40
Formation energy without anion corrections (meV/atom): 2219


(7)
A relaxed RbAgSbI2 crystal. Source: Alexandria, functional GGA-PBEsol.

```
5
Lattice="-2.684 -4.144 -1.879 5.027 -3.094 -0.357 -0.820 -1.969 5.515" Properties=species:S:1:pos:R:3 pbc="T T T"
Ag 0.000 0.000 0.000
I 2.513 -1.547 -0.179
Sb -1.342 -2.072 -0.939
Rb 0.761 -4.604 1.640
I -0.410 -0.985 2.758
```

Results
Raw total energy (eV per atom): -2.72
Formation energy without anion corrections (meV/atom): -238


(8)
A relaxed GaAsCBr2 crystal. Source: Alexandria, functional GGA-PBEsol.

```
5
Lattice="-1.301 0.154 4.824 -4.577 -1.686 -1.180 1.590 -4.724 0.580" Properties=species:S:1:pos:R:3 pbc="T T T"
Ga 0.000 0.000 0.000
As -0.650 0.077 2.412
C -2.144 -3.128 2.112
Br 0.795 -2.362 0.290
Br -2.289 -0.843 -0.590
```

Results
Raw total energy (eV per atom): -2.79
Formation energy without anion corrections (meV/atom): 1574